{"formula": "PaTcGeRh", "functional": "PBE", "state": "optimized geometry", "de_polymorph_mev_per_atom": 0, "m_tot_mub_per_fu": 0.01, "spacegroup": "F-43m (216)", "delta_e_f_ev_per_atom": -0.370, "energy_ry_per_atom": -0.612, "lattice": [[-2.214, 2.963, 2.815], [0.518, -0.343, 4.607], [2.399, 3.238, 2.317]], "species": ["Ge", "Pa", "Rh", "Tc"], "frac_coords": [[0.250, 0.250, 0.250], [0.750, 0.750, 0.750], [0.500, 0.500, 0.500], [0.000, 0.000, 0.000]]}